Record 1
# RbNiAs2Br (PBE, relaxed)
# **E_tot**: -3.801 eV per atom
data_RbNiAs2Br
_symmetry_space_group_name_H-M 'P 4/m m m'
_symmetry_Int_Tables_number 123
_symmetry_space_group_name_Hall '-P 4 2'
_cell_length_a 4.4981
_cell_length_b 4.4981
_cell_length_c 8.9928
_cell_angle_alpha 90.00
_cell_angle_beta 90.00
_cell_angle_gamma 90.00
loop_
_atom_site_label
_atom_site_type_symbol
_atom_site_fract_x
_atom_site_fract_y
_atom_site_fract_z
Rb1 Rb 0.0000 0.0000 0.0000
Ni1 Ni 0.5000 0.5000 0.5000
As1 As 0.0000 0.5000 0.5000
Br1 Br 0.5000 0.5000 0.0000

---

Record 2
# ReNiAs2Br (PBE, relaxed)
# **E_tot**: -4.860 eV per atom
# **Offset from the most stable computed form**: 0.0 meV/atom
data_ReNiAs2Br
_symmetry_space_group_name_H-M 'P 4/m m m'
_symmetry_Int_Tables_number 123
_symmetry_space_group_name_Hall '-P 4 2'
_cell_length_a 4.7098
_cell_length_b 4.7098
_cell_length_c 5.5228
_cell_angle_alpha 90.00
_cell_angle_beta 90.00
_cell_angle_gamma 90.00
loop_
_atom_site_label
_atom_site_type_symbol
_atom_site_fract_x
_atom_site_fract_y
_atom_site_fract_z
Re1 Re 0.0000 0.0000 0.0000
Ni1 Ni 0.5000 0.5000 0.5000
As1 As 0.0000 0.5000 0.0000
Br1 Br 0.0000 0.0000 0.5000

---

Record 3
# ReNi2AsBr (PBE, relaxed)
# **E_tot**: -4.427 eV per atom
data_ReNi2AsBr
_symmetry_space_group_name_H-M 'P 4/m m m'
_symmetry_Int_Tables_number 123
_symmetry_space_group_name_Hall '-P 4 2'
_cell_length_a 4.2261
_cell_length_b 4.2261
_cell_length_c 5.4322
_cell_angle_alpha 90.00
_cell_angle_beta 90.00
_cell_angle_gamma 90.00
loop_
_atom_site_label
_atom_site_type_symbol
_atom_site_fract_x
_atom_site_fract_y
_atom_site_fract_z
Re1 Re 0.0000 0.0000 0.0000
Ni1 Ni 0.0000 0.5000 0.5000
As1 As 0.5000 0.5000 0.0000
Br1 Br 0.5000 0.5000 0.5000